SrMgBr4, relaxed, DFT PBE-GGA; total magnetic moment = 0.0000 μB/atom; SG = No. 141; E_form (uncorrected) = -1.751 eV per atom; calculated density = 3.3 g/cm3; VASP energy = -3.413 eV per atom; offset from the most stable computed form = 6 meV per atom
1.0
-6.728 1.156 -4.745
-1.190 0.876 8.181
-2.425 7.857 1.209
Br Mg Sr
8 2 2
Direct
0.185 0.749 0.436
0.621 0.685 0.564
0.815 0.251 0.564
0.249 0.685 0.936
0.815 0.879 0.936
0.379 0.315 0.436
0.751 0.315 0.064
0.185 0.121 0.064
0.625 0.875 0.750
0.375 0.125 0.250
0.875 0.625 0.250
0.125 0.375 0.750

---

CeLuZnCr, relaxed, DFT PBE-GGA; total magnetic moment = 0.5551 μB/atom; SG = No. 216; calculated density = 8.2 g/cm3; VASP energy = -5.271 eV per atom
1.0
4.989 0.000 0.000
2.494 4.320 0.000
2.494 1.440 4.073
Cr Zn Ce Lu
1 1 1 1
Direct
0.250 0.250 0.250
0.750 0.750 0.750
0.500 0.500 0.500
0.000 0.000 0.000

---

CaSi2Sb, relaxed, DFT PBE-GGA; total magnetic moment = 0.0000 μB/atom; SG = No. 10; E_form (uncorrected) = 0.001 eV per atom; calculated density = 3.5 g/cm3; VASP energy = -4.242 eV per atom
1.0
-2.073 0.740 3.639
-0.378 -4.156 0.630
5.025 -0.114 2.886
Ca Sb Si
1 1 2
Direct
0.500 0.250 0.250
0.500 0.750 0.750
0.000 0.745 0.444
0.000 0.755 0.056